{"formula": "Cu2RhCl", "functional": "SCAN", "state": "PBEsol geometry", "final_energy_ev_per_fu": -71.5, "lattice": [[1.444, 0.833, 7.544], [-1.444, 0.833, 7.544], [0.000, -1.667, 7.544]], "species": ["Cu", "Cu", "Rh", "Cl"], "fractional_positions": [[0.248, 0.248, 0.248], [0.752, 0.752, 0.752], [0.000, 0.000, 0.000], [0.500, 0.500, 0.500]]}

---

{"formula": "Cu2RhCl", "functional": "SCAN", "state": "PBEsol geometry", "final_energy_ev_per_fu": -71.6, "lattice": [[3.034, 0.000, 0.000], [0.000, 2.936, 0.000], [-0.009, 0.000, 6.469]], "species": ["Cu", "Cu", "Rh", "Cl"], "fractional_positions": [[0.000, 0.000, 0.000], [0.499, 0.500, 0.803], [0.999, 0.000, 0.590], [0.000, 0.500, 0.293]]}

---

{"formula": "Cu2RhCl", "functional": "SCAN", "state": "PBEsol geometry", "final_energy_ev_per_fu": -71.2, "lattice": [[2.974, 0.000, 0.000], [0.000, 2.974, 0.000], [0.000, 0.000, 6.134]], "species": ["Cu", "Cu", "Rh", "Cl"], "fractional_positions": [[0.000, 0.000, 0.000], [0.500, 0.500, 0.215], [0.000, 0.000, 0.441], [0.500, 0.500, 0.736]]}

---

{"formula": "Cu2RhCl", "functional": "SCAN", "state": "PBEsol geometry", "final_energy_ev_per_fu": -69.6, "lattice": [[0.000, 3.013, 3.013], [3.013, 0.000, 3.013], [3.013, 3.013, 0.000]], "species": ["Cu", "Cu", "Rh", "Cl"], "fractional_positions": [[0.250, 0.250, 0.250], [0.750, 0.750, 0.750], [0.000, 0.000, 0.000], [0.500, 0.500, 0.500]]}

---

Number 1: total moment 0.807 μB per formula unit. Number 2: total moment 0.001 μB per formula unit. Number 3: total moment 0.980 μB per formula unit. Number 4: total moment 0.834 μB per formula unit.